# ScHgP

Crystalline ScHgP at its relaxed geometry (GGA-PBEsol, the Alexandria database). Values from VASP.

Properties
Total moment   0.0 μB per formula unit
SG   F-43m, No. 216
Formation energy   -1.3 eV/f.u.

```
&SYSTEM
  ibrav = 0, nat = 3, ntyp = 3
/
ATOMIC_SPECIES
Sc 44.96 Sc.upf
Hg 200.59 Hg.upf
P 30.97 P.upf
CELL_PARAMETERS angstrom
0.0000 3.1932 3.1932
3.1932 0.0000 3.1932
3.1932 3.1932 0.0000
ATOMIC_POSITIONS angstrom
Sc 0.0000 0.0000 0.0000
Hg 4.7899 4.7899 4.7899
P 1.5966 1.5966 1.5966
```

***

# Mn2CoB2

Crystalline Mn2CoB2 at its relaxed geometry (GGA-PBEsol, the Alexandria database). Values from VASP.

Properties
Total moment   1.8 μB per formula unit
SG   P4/mbm, No. 127
Formation energy   -2.0 eV/f.u.

```
&SYSTEM
  ibrav = 0, nat = 10, ntyp = 3
/
ATOMIC_SPECIES
Mn 54.94 Mn.upf
Co 58.93 Co.upf
B 10.81 B.upf
CELL_PARAMETERS angstrom
5.1695 0.0000 0.0000
0.0000 5.1695 0.0000
0.0000 0.0000 3.0689
ATOMIC_POSITIONS angstrom
Mn 0.8920 1.6927 0.0000
Mn 1.6927 4.2774 0.0000
Mn 3.4768 0.8920 0.0000
Mn 4.2774 3.4768 0.0000
Co 0.0000 0.0000 1.5344
Co 2.5847 2.5847 1.5344
B 0.6295 3.2142 1.5344
B 1.9553 0.6295 1.5344
B 3.2142 4.5400 1.5344
B 4.5400 1.9553 1.5344
```

***

# LiSbS2

Crystalline LiSbS2 at its relaxed geometry (GGA-PBEsol, the Alexandria database). Values from VASP.

Properties
Energy relative to the elements, uncorrected   -714 meV per atom
Total moment   0.0 μB per formula unit
SG   I4_1/amd, No. 141

```
&SYSTEM
  ibrav = 0, nat = 8, ntyp = 3
/
ATOMIC_SPECIES
Li 6.94 Li.upf
Sb 121.76 Sb.upf
S 32.06 S.upf
CELL_PARAMETERS angstrom
-2.6831 2.6831 5.4548
2.6831 -2.6831 5.4548
2.6831 2.6831 -5.4548
ATOMIC_POSITIONS angstrom
Li 2.6831 1.3415 1.3637
Li 0.0000 1.3415 4.0911
Sb 2.6831 -1.3415 4.0911
Sb 0.0000 4.0246 1.3637
S 2.6831 1.3415 -1.3650
S 0.0000 1.3415 1.3624
S 2.6831 1.3415 4.0924
S 0.0000 1.3415 6.8198
```

***

# Ba3CaSb2O9

Crystalline Ba3CaSb2O9 at its relaxed geometry (GGA-PBEsol, the Alexandria database). Values from VASP.

Properties
Energy relative to the elements, uncorrected   -2385 meV per atom
Total moment   0.0 μB per formula unit
SG   C2/c, No. 15

```
&SYSTEM
  ibrav = 0, nat = 30, ntyp = 4
/
ATOMIC_SPECIES
Ba 137.33 Ba.upf
Ca 40.08 Ca.upf
Sb 121.76 Sb.upf
O 16.00 O.upf
CELL_PARAMETERS angstrom
3.0078 -5.1865 0.0000
3.0078 5.1865 0.0000
-0.5841 0.0000 14.8934
ATOMIC_POSITIONS angstrom
Ba 2.5698 5.1025 11.1700
Ba 2.7077 1.7337 6.0933
Ba 3.0159 1.7337 1.3533
Ba 2.4156 -1.7337 13.5400
Ba 2.7239 -1.7337 8.8000
Ba 2.8618 -5.1025 3.7233
Ca 0.0000 0.0000 0.0000
Ca -0.2920 0.0000 7.4467
Sb 2.3841 1.7201 12.5940
Sb 2.7554 1.7201 9.7460
Sb 2.6761 -1.7201 5.1473
Sb 3.0475 -1.7201 2.2993
O 1.2674 2.4662 10.9590
O 2.1878 3.4085 13.5330
O 0.7842 0.9176 13.3443
O 1.5166 0.9184 8.4848
O 2.9517 3.4085 8.8070
O 1.0763 -0.9176 5.8977
O 1.8087 -0.9184 1.0381
O 3.8722 2.4662 11.3810
O 2.5698 0.1870 11.1700
O 2.8618 -0.1870 3.7233
O 1.5594 -2.4662 3.5124
O 3.6229 0.9184 13.8553
O 4.3553 0.9176 8.9957
O 2.4799 -3.4085 6.0863
O 3.9149 -0.9184 6.4086
O 4.6473 -0.9176 1.5490
O 3.2437 -3.4085 1.3604
O 4.1642 -2.4662 3.9343
```

***

# Li2TaPb

Crystalline Li2TaPb at its relaxed geometry (GGA-PBEsol, the Alexandria database). Values from VASP.

Properties
Total moment   0.0 μB per formula unit
SG   P4mm, No. 99
Formation energy   1.0 eV/f.u.

```
&SYSTEM
  ibrav = 0, nat = 4, ntyp = 3
/
ATOMIC_SPECIES
Li 6.94 Li.upf
Ta 180.95 Ta.upf
Pb 207.20 Pb.upf
CELL_PARAMETERS angstrom
3.0641 0.0000 0.0000
0.0000 3.0641 0.0000
0.0000 0.0000 7.7457
ATOMIC_POSITIONS angstrom
Li 0.0000 0.0000 0.0000
Li 1.5320 1.5320 1.6539
Ta 1.5320 1.5320 5.8716
Pb 0.0000 0.0000 3.6752
```

***

# CaMg2Hg

Crystalline CaMg2Hg at its relaxed geometry (GGA-PBEsol, the Alexandria database). Values from VASP.

Properties
Total moment   0.0 μB per formula unit
SG   P4/mmm, No. 123
Formation energy   -0.8 eV/f.u.

```
&SYSTEM
  ibrav = 0, nat = 4, ntyp = 3
/
ATOMIC_SPECIES
Ca 40.08 Ca.upf
Mg 24.30 Mg.upf
Hg 200.59 Hg.upf
CELL_PARAMETERS angstrom
3.5545 0.0000 0.0000
0.0000 3.5545 0.0000
0.0000 0.0000 7.8979
ATOMIC_POSITIONS angstrom
Ca 0.0000 0.0000 0.0000
Mg 1.7772 1.7772 2.3635
Mg 1.7772 1.7772 5.5344
Hg 0.0000 0.0000 3.9489
```

***

# TaAgW2

Crystalline TaAgW2 at its relaxed geometry (GGA-PBEsol, the Alexandria database). Values from VASP.

Properties
Total moment   0.0 μB per formula unit
SG   Fm-3m, No. 225
Polymorph energy (0 for the lowest one)   0.2831 eV per atom
Formation energy   2.5 eV/f.u.

```
&SYSTEM
  ibrav = 0, nat = 4, ntyp = 3
/
ATOMIC_SPECIES
Ta 180.95 Ta.upf
Ag 107.87 Ag.upf
W 183.84 W.upf
CELL_PARAMETERS angstrom
0.0000 3.1965 3.1965
3.1965 0.0000 3.1965
3.1965 3.1965 0.0000
ATOMIC_POSITIONS angstrom
Ta 0.0000 0.0000 0.0000
Ag 3.1965 3.1965 3.1965
W 1.5983 1.5983 1.5983
W 4.7948 4.7948 4.7948
```

***

# Y3AlGa

Crystalline Y3AlGa at its relaxed geometry (GGA-PBEsol, the Alexandria database). Values from VASP.

Properties
Total moment   0.0 μB per formula unit
SG   Pm-3m, No. 221
Formation energy   0.4 eV/f.u.

```
&SYSTEM
  ibrav = 0, nat = 5, ntyp = 3
/
ATOMIC_SPECIES
Y 88.91 Y.upf
Al 26.98 Al.upf
Ga 69.72 Ga.upf
CELL_PARAMETERS angstrom
5.3231 0.0000 0.0000
0.0000 5.3231 0.0000
0.0000 0.0000 5.3231
ATOMIC_POSITIONS angstrom
Y 0.0000 0.0000 2.6615
Y 0.0000 2.6615 0.0000
Y 2.6615 0.0000 0.0000
Al 2.6615 2.6615 2.6615
Ga 0.0000 0.0000 0.0000
```

***

# Sr2SiIr

Crystalline Sr2SiIr at its relaxed geometry (GGA-PBEsol, the Alexandria database). Values from VASP.

Properties
Energy relative to the elements, uncorrected   -467 meV per atom
Total moment   0.0 μB per formula unit
SG   Amm2, No. 38

```
&SYSTEM
  ibrav = 0, nat = 4, ntyp = 3
/
ATOMIC_SPECIES
Sr 87.62 Sr.upf
Si 28.09 Si.upf
Ir 192.22 Ir.upf
CELL_PARAMETERS angstrom
4.1868 0.0000 0.0000
0.0000 2.3763 5.3887
0.0000 -2.3763 5.3887
ATOMIC_POSITIONS angstrom
Sr 0.0000 0.0000 0.0000
Sr 2.0934 0.0000 3.1293
Si 2.0934 0.0000 6.4572
Ir 0.0000 0.0000 7.4623
```

***

# Sr2NiW

Crystalline Sr2NiW at its relaxed geometry (GGA-PBEsol, the Alexandria database). Values from VASP.

Properties
Total moment   3.1 μB per formula unit
SG   F-43m, No. 216
Polymorph energy (0 for the lowest one)   0.5890 eV per atom
Formation energy   5.1 eV/f.u.

```
&SYSTEM
  ibrav = 0, nat = 4, ntyp = 3
/
ATOMIC_SPECIES
Sr 87.62 Sr.upf
Ni 58.69 Ni.upf
W 183.84 W.upf
CELL_PARAMETERS angstrom
0.0000 3.5526 3.5526
3.5526 0.0000 3.5526
3.5526 3.5526 0.0000
ATOMIC_POSITIONS angstrom
Sr 0.0000 0.0000 0.0000
Sr 1.7763 1.7763 1.7763
Ni 5.3289 5.3289 5.3289
W 3.5526 3.5526 3.5526
```

***

# SiNiPt2

Crystalline SiNiPt2 at its relaxed geometry (GGA-PBEsol, the Alexandria database). Values from VASP.

Properties
Energy relative to the elements, uncorrected   -210 meV per atom
Total moment   0.0 μB per formula unit
SG   F-43m, No. 216

```
&SYSTEM
  ibrav = 0, nat = 4, ntyp = 3
/
ATOMIC_SPECIES
Si 28.09 Si.upf
Ni 58.69 Ni.upf
Pt 195.08 Pt.upf
CELL_PARAMETERS angstrom
0.0000 2.9970 2.9970
2.9970 0.0000 2.9970
2.9970 2.9970 0.0000
ATOMIC_POSITIONS angstrom
Si 0.0000 0.0000 0.0000
Ni 1.4985 1.4985 1.4985
Pt 2.9970 2.9970 2.9970
Pt 4.4955 4.4955 4.4955
```

***

# MnPb

Crystalline MnPb at its relaxed geometry (GGA-PBEsol, the Alexandria database). Values from VASP.

Properties
Total moment   3.0 μB per formula unit
SG   F-43m, No. 216
Formation energy   2.4 eV/f.u.

```
&SYSTEM
  ibrav = 0, nat = 2, ntyp = 2
/
ATOMIC_SPECIES
Mn 54.94 Mn.upf
Pb 207.20 Pb.upf
CELL_PARAMETERS angstrom
0.0000 3.0556 3.0556
3.0556 0.0000 3.0556
3.0556 3.0556 0.0000
ATOMIC_POSITIONS angstrom
Mn 0.0000 0.0000 0.0000
Pb 1.5278 1.5278 1.5278
```